# AcHoMgIr | Alexandria via LeMat-Bulk | GGA-PBE | relaxed
data_AcHoMgIr
_cell_length_a 7.426
_cell_length_b 7.426
_cell_length_c 7.426
_cell_angle_alpha 90.00
_cell_angle_beta 90.00
_cell_angle_gamma 90.00
_symmetry_space_group_name_H-M 'F -4 3 m'
_symmetry_Int_Tables_number 216
_symmetry_space_group_name_Hall 'F -4 2 3'
loop_
_atom_site_label
_atom_site_type_symbol
_atom_site_fract_x
_atom_site_fract_y
_atom_site_fract_z
Ac1 Ac 0.000 0.000 0.000
Ho1 Ho 0.000 0.000 0.500
Mg1 Mg 0.250 0.250 0.750
Ir1 Ir 0.250 0.250 0.250
# E in eV per atom: -5.047
# Magnetic moment in Bohr magnetons per cell: 0.00

# AcHo2IrN4 | Alexandria via LeMat-Bulk | GGA-PBE | relaxed
data_AcHo2IrN4
_cell_length_a 3.480
_cell_length_b 12.041
_cell_length_c 11.659
_cell_angle_alpha 90.00
_cell_angle_beta 90.00
_cell_angle_gamma 90.00
_symmetry_space_group_name_H-M 'C m c m'
_symmetry_Int_Tables_number 63
_symmetry_space_group_name_Hall '-C 2c 2'
loop_
_atom_site_label
_atom_site_type_symbol
_atom_site_fract_x
_atom_site_fract_y
_atom_site_fract_z
Ac1 Ac 0.000 0.107 0.250
Ho1 Ho 0.000 0.370 0.044
Ir1 Ir 0.000 0.154 0.750
N1 N 0.000 0.000 0.000
N2 N 0.000 0.268 0.621
N3 N 0.000 0.438 0.250
# E in eV per atom: -7.850
# Uncorrected formation energy in eV per atom: -0.922
# Magnetic moment in Bohr magnetons per cell: 0.00

# AcHoIrO6 | Alexandria via LeMat-Bulk | GGA-PBE | relaxed
data_AcHoIrO6
_cell_length_a 5.5453
_cell_length_b 5.5453
_cell_length_c 5.3089
_cell_angle_alpha 90.00
_cell_angle_beta 90.00
_cell_angle_gamma 120.00
_symmetry_space_group_name_H-M 'P 3 1 2'
_symmetry_Int_Tables_number 149
_symmetry_space_group_name_Hall 'P 3 2'
loop_
_atom_site_label
_atom_site_type_symbol
_atom_site_fract_x
_atom_site_fract_y
_atom_site_fract_z
Ac1 Ac 0.0000 0.0000 0.0000
Ho1 Ho 0.6667 0.3333 0.5000
Ir1 Ir 0.3333 0.6667 0.5000
O1 O 0.0380 0.3813 0.2885
# E in eV per atom: -7.482
# Uncorrected formation energy in eV per atom: -2.227
# Magnetic moment in Bohr magnetons per cell: 3.02